[1]
In2CF: relaxed, GGA-PBEsol.

The structure in CIF format:
```
data_In2CF
_cell_length_a 4.3180
_cell_length_b 4.3180
_cell_length_c 4.3180
_cell_angle_alpha 60.00
_cell_angle_beta 60.00
_cell_angle_gamma 60.00
_space_group_name_H-M_alt 'P 1'
_space_group_IT_number 1
loop_
_space_group_symop_operation_xyz
'x,y,z'
loop_
_atom_site_label
_atom_site_type_symbol
_atom_site_fract_x
_atom_site_fract_y
_atom_site_fract_z
_atom_site_occupancy
C1 C 0.0000 0.0000 0.0000 1
F1 F 0.5000 0.5000 0.5000 1
In1 In 0.2500 0.2500 0.2500 1
In2 In 0.7500 0.7500 0.7500 1
```

Results
Its space group is Fm-3m (225). The value obtained for the total magnetic moment is 0.0 μB per formula unit. The value obtained for the volume is 57 Å³/cell. The calculation puts the uncorrected formation energy at 209.3 meV/atom.

***

[2]
Cd3Ag: relaxed, GGA-PBEsol.

The structure in CIF format:
```
data_Cd3Ag
_cell_length_a 5.4002
_cell_length_b 5.4002
_cell_length_c 5.4002
_cell_angle_alpha 90.00
_cell_angle_beta 90.00
_cell_angle_gamma 90.00
_space_group_name_H-M_alt 'P 1'
_space_group_IT_number 1
loop_
_space_group_symop_operation_xyz
'x,y,z'
loop_
_atom_site_label
_atom_site_type_symbol
_atom_site_fract_x
_atom_site_fract_y
_atom_site_fract_z
_atom_site_occupancy
Ag1 Ag 0.0000 0.0000 0.0000 1
Ag2 Ag 0.5000 0.5000 0.5000 1
Cd1 Cd 0.0000 0.2500 0.5000 1
Cd2 Cd 0.0000 0.7500 0.5000 1
Cd3 Cd 0.2500 0.5000 0.0000 1
Cd4 Cd 0.5000 0.0000 0.2500 1
Cd5 Cd 0.5000 0.0000 0.7500 1
Cd6 Cd 0.7500 0.5000 0.0000 1
```

Results
Its space group is Pm-3n (223). The value obtained for the total magnetic moment is 0.0 μB per formula unit. The value obtained for the volume is 157 Å³/cell. The total energy comes out at -13.661 eV per cell.